# AlCuCl2 (PBE, relaxed)
# * calculated total energy: -0.2303 Ry/atom
# * spin magnetization: 0.0 μB per cell
# * formation energy from raw total energies: -250 meV per atom
# * D(E_F): 0.2904 states/eV per atom
data_AlCuCl2
_symmetry_space_group_name_H-M 'C 1 2/m 1'
_symmetry_Int_Tables_number 12
_symmetry_space_group_name_Hall '-C 2y'
_cell_length_a 7.601
_cell_length_b 3.419
_cell_length_c 7.306
_cell_angle_alpha 90.00
_cell_angle_beta 108.91
_cell_angle_gamma 90.00
loop_
_atom_site_label
_atom_site_type_symbol
_atom_site_fract_x
_atom_site_fract_y
_atom_site_fract_z
_atom_site_occupancy
Al1 Al 0.000 0.000 0.000 1
Cu1 Cu 0.000 0.500 0.500 1
Cl1 Cl 0.180 0.000 0.708 1


# SiHgSb2Te (PBE, relaxed)
# * calculated total energy: -0.2141 Ry/atom
# * spin magnetization: 0.0 μB per cell
# * formation energy from raw total energies: 509 meV per atom
# * D(E_F): 0.8354 states/eV per atom
data_SiHgSb2Te
_symmetry_space_group_name_H-M 'P 4/m m m'
_symmetry_Int_Tables_number 123
_symmetry_space_group_name_Hall '-P 4 2'
_cell_length_a 5.293
_cell_length_b 5.293
_cell_length_c 5.315
_cell_angle_alpha 90.00
_cell_angle_beta 90.00
_cell_angle_gamma 90.00
loop_
_atom_site_label
_atom_site_type_symbol
_atom_site_fract_x
_atom_site_fract_y
_atom_site_fract_z
_atom_site_occupancy
Si1 Si 0.000 0.000 0.000 1
Hg1 Hg 0.500 0.500 0.500 1
Sb1 Sb 0.000 0.500 0.000 1
Te1 Te 0.000 0.000 0.500 1